Compound: Cs4Hg2Au
Source: Alexandria
Functional: PBE
Structure: optimized geometry

Summary:
- Polymorph energy (0 for the lowest one): 0 meV/atom
- M_tot: 0.000 μB/atom
- Formation energy from the elements: -154 kJ/mol of formula units
- Symmetry: C2/m, No. 12

Unit cell a=5.329 b=7.698 c=11.882 alpha=120.63 beta=102.96 gamma=90.00
Fractional coordinates of all 7 atoms:
Cs1 0.581 0.881 0.161
Cs2 0.419 0.119 0.839
Au1 0.000 0.000 0.000
Hg1 0.766 0.923 0.531
Hg2 0.234 0.077 0.469
Cs3 0.840 0.519 0.680
Cs4 0.160 0.481 0.320

Compound: Cs3HgAu2
Source: Alexandria
Functional: PBE
Structure: optimized geometry

Summary:
- Polymorph energy (0 for the lowest one): 11 meV/atom
- M_tot: 0.000 μB/atom
- Formation energy from the elements: -166 kJ/mol of formula units
- Symmetry: P4/mmm, No. 123

Unit cell a=4.449 b=4.449 c=13.342 alpha=90.00 beta=90.00 gamma=90.00
Fractional coordinates of all 6 atoms:
Hg1 0.500 0.500 0.500
Cs1 0.000 0.000 0.000
Cs2 0.000 0.000 0.314
Au1 0.500 0.500 0.834
Au2 0.500 0.500 0.166
Cs3 0.000 0.000 0.686

Compound: Cs2HgAu3
Source: Alexandria
Functional: PBE
Structure: optimized geometry

Summary:
- M_tot: 0.000 μB/atom
- Formation energy from the elements: -161 kJ/mol of formula units
- Symmetry: Fmmm, No. 69

Unit cell a=7.123 b=7.123 c=9.958 alpha=111.90 beta=111.90 gamma=87.55
Fractional coordinates of all 12 atoms:
Au1 0.837 0.326 0.163
Hg1 0.666 0.666 0.332
Cs1 0.245 0.245 0.000
Hg2 0.334 0.334 0.668
Cs2 0.750 0.250 0.500
Cs3 0.250 0.750 0.500
Au2 0.164 0.164 0.327
Au3 0.163 0.674 0.837
Au4 0.326 0.837 0.163
Au5 0.836 0.836 0.673
Au6 0.674 0.163 0.837
Cs4 0.755 0.755 0.000

Compound: Cs5Hg2Au
Source: Alexandria
Functional: PBE
Structure: optimized geometry

Summary:
- M_tot: 0.000 μB/atom
- Formation energy from the elements: -139 kJ/mol of formula units
- Symmetry: Cmcm, No. 63

Unit cell a=6.750 b=9.066 c=19.334 alpha=90.00 beta=90.00 gamma=111.85
Fractional coordinates of all 16 atoms:
Hg1 0.250 0.500 0.952
Hg2 0.750 0.500 0.048
Cs1 0.890 0.781 0.892
Hg3 0.750 0.500 0.452
Au1 0.750 0.501 0.750
Au2 0.250 0.499 0.250
Cs2 0.890 0.781 0.608
Cs3 0.750 0.499 0.250
Cs4 0.610 0.221 0.892
Hg4 0.250 0.500 0.548
Cs5 0.610 0.221 0.608
Cs6 0.250 0.501 0.750
Cs7 0.110 0.219 0.108
Cs8 0.110 0.219 0.392
Cs9 0.390 0.779 0.392
Cs10 0.390 0.779 0.108

Compound: Cs4Hg3Au
Source: Alexandria
Functional: PBE
Structure: optimized geometry

Summary:
- M_tot: 0.000 μB/atom
- Formation energy from the elements: -206 kJ/mol of formula units
- Symmetry: Pmm2, No. 25

Unit cell a=5.446 b=5.314 c=13.639 alpha=90.00 beta=90.00 gamma=90.00
Fractional coordinates of all 8 atoms:
Cs1 0.500 0.500 0.343
Hg1 0.500 0.000 0.947
Hg2 0.000 0.500 0.555
Cs2 0.500 0.000 0.647
Cs3 0.000 0.000 0.142
Hg3 0.000 0.000 0.439
Cs4 0.000 0.500 0.870
Au1 0.500 0.500 0.057

Compound: CsHg6Au4
Source: Alexandria
Functional: PBE
Structure: optimized geometry

Summary:
- Polymorph energy (0 for the lowest one): 23 meV/atom
- M_tot: 0.000 μB/atom
- Formation energy from the elements: -71 kJ/mol of formula units
- Symmetry: P-6m2, No. 187

Unit cell a=4.766 b=8.282 c=8.282 alpha=120.00 beta=90.00 gamma=90.00
Fractional coordinates of all 11 atoms:
Au1 0.000 0.333 0.667
Hg1 0.500 0.195 0.805
Hg2 0.000 0.534 0.466
Hg3 0.000 0.534 0.068
Au2 0.500 0.786 0.573
Cs1 0.000 0.000 0.000
Au3 0.500 0.786 0.214
Au4 0.500 0.427 0.214
Hg4 0.000 0.932 0.466
Hg5 0.500 0.195 0.390
Hg6 0.500 0.610 0.805